Entry 1:
Nd3Si2Pt9Au: relaxed, PBE.

Geometry as POSCAR:
```
Nd3Si2Pt9Au
1.0
5.713 0.000 0.000
-2.857 4.948 0.000
0.000 0.000 11.130
Nd Si Pt Au
3 2 9 1
Direct
0.000 0.000 0.000
0.333 0.667 0.593
0.667 0.333 0.407
0.333 0.667 0.159
0.667 0.333 0.841
0.000 0.500 0.000
0.162 0.324 0.303
0.162 0.838 0.303
0.324 0.162 0.697
0.500 0.000 0.000
0.500 0.500 0.000
0.676 0.838 0.303
0.838 0.162 0.697
0.838 0.676 0.697
0.000 0.000 0.500
```

Values from the calculation:
Crystal system = trigonal
DOS(E_F) = 4.58 states/eV/f.u.
Energy = -6.28 eV per atom

Entry 2:
Nd2Sn3Pt4Au: relaxed, PBE.

Geometry as POSCAR:
```
Nd2Sn3Pt4Au
1.0
4.268 0.000 0.000
0.000 4.268 0.000
0.000 0.000 12.107
Nd Sn Pt Au
2 3 4 1
Direct
0.000 0.500 0.236
0.500 0.000 0.764
0.000 0.000 0.000
0.000 0.500 0.632
0.500 0.000 0.368
0.000 0.000 0.500
0.000 0.500 0.847
0.500 0.000 0.153
0.500 0.500 0.500
0.500 0.500 0.000
```

Values from the calculation:
Energy relative to the elements = -769 meV/atom
Crystal system = tetragonal
DOS(E_F) = 5.66 states/eV/f.u.

Entry 3:
NdSnPt3Au: relaxed, PBE.

Geometry as POSCAR:
```
NdSnPt3Au
1.0
2.805 -8.905 0.000
2.805 8.905 0.000
0.000 0.000 5.712
Nd Sn Pt Au
2 2 6 2
Direct
0.196 0.804 0.750
0.804 0.196 0.250
0.092 0.908 0.250
0.908 0.092 0.750
0.238 0.762 0.250
0.265 0.265 0.000
0.265 0.265 0.500
0.735 0.735 0.000
0.735 0.735 0.500
0.762 0.238 0.750
0.385 0.615 0.250
0.615 0.385 0.750
```

Values from the calculation:
Energy relative to the elements = -447 meV/atom
Crystal system = orthorhombic
DOS(E_F) = 3.41 states/eV/f.u.

> The lowest DOS(E_F) belongs to which entry?

NdSnPt3Au